(1)
A relaxed TbNd3Cd crystal. Source: the Alexandria database, functional PBE-GGA.

Computed properties:
- Distance to the lowest polymorph of the same formula: 107 meV per atom
- Formation energy from the elements: -0.002 eV per atom
- Space-group type: P2_1/m (11)

Cell: 3.857 10.671 8.189 Å, 90.00 90.08 90.00°
Sites, in units of the cell vectors:
Tb1 0.249 0.250 0.442
Tb2 0.751 0.750 0.558
Nd1 0.250 0.001 0.743
Nd2 0.250 0.499 0.743
Nd3 0.251 0.250 0.052
Nd4 0.749 0.750 0.948
Nd5 0.750 0.501 0.257
Nd6 0.750 0.999 0.257
Cd1 0.250 0.750 0.261
Cd2 0.750 0.250 0.739


(2)
A relaxed AgRuCl crystal. Source: the Alexandria database, functional PBE-GGA.

Computed properties:
- Uncorrected formation energy: 0.7238 eV/atom
- Distance to the lowest polymorph of the same formula: 298 meV per atom
- Space-group type: P-6m2 (187)

Cell: 4.460 4.460 2.997 Å, 90.00 90.00 120.00°
Sites, in units of the cell vectors:
Ag1 0.000 0.000 0.000
Ru1 0.667 0.333 0.500
Cl1 0.333 0.667 0.500


(3)
A relaxed LiTbNb2N4 crystal. Source: the Alexandria database, functional PBE-GGA.

Computed properties:
- Uncorrected formation energy: -0.9843 eV/atom
- Space-group type: I4/mmm (139)

Cell: 5.456 5.456 5.456 Å, 130.85 130.85 72.05°
Sites, in units of the cell vectors:
Li1 0.000 0.000 0.000
Tb1 0.500 0.500 0.000
Nb1 0.250 0.750 0.500
Nb2 0.750 0.250 0.500
N1 0.000 0.500 0.500
N2 0.239 0.239 0.000
N3 0.500 0.000 0.500
N4 0.761 0.761 0.000


(4)
A relaxed Y2BeIn crystal. Source: the Alexandria database, functional PBE-GGA.

Computed properties:
- Distance to the lowest polymorph of the same formula: 264 meV per atom
- Formation energy from the elements: 0.043 eV per atom
- Space-group type: I-4m2 (119)

Cell: 5.959 5.959 5.959 Å, 137.16 137.16 62.19°
Sites, in units of the cell vectors:
Y1 0.000 0.000 0.000
Y2 0.750 0.250 0.500
Be1 0.250 0.750 0.500
In1 0.500 0.500 0.000


(5)
A relaxed NdZrSnAu crystal. Source: the Alexandria database, functional PBE-GGA.

Computed properties:
- Formation energy from the elements: -0.478 eV per atom
- Space-group type: F-43m (216)

Cell: 5.164 5.164 5.164 Å, 60.00 60.00 60.00°
Sites, in units of the cell vectors:
Nd1 0.000 0.000 0.000
Zr1 0.500 0.500 0.500
Sn1 0.250 0.250 0.250
Au1 0.750 0.750 0.750


(6)
A relaxed ScOsW crystal. Source: the Alexandria database, functional PBE-GGA.

Computed properties:
- Formation energy from the elements: -0.122 eV per atom
- Space-group type: I4mm (107)

Cell: 5.576 5.576 5.576 Å, 147.36 147.36 46.82°
Sites, in units of the cell vectors:
Sc1 0.000 0.000 0.000
Os1 0.327 0.327 0.000
W1 0.683 0.683 0.000


(7)
A relaxed PrHoMgOs crystal. Source: the Alexandria database, functional PBE-GGA.

Computed properties:
- Formation energy from the elements: -0.042 eV per atom
- Space-group type: F-43m (216)

Cell: 5.086 5.086 5.086 Å, 60.00 60.00 60.00°
Sites, in units of the cell vectors:
Pr1 0.000 0.000 0.000
Ho1 0.500 0.500 0.500
Mg1 0.250 0.250 0.250
Os1 0.750 0.750 0.750


(8)
A relaxed ScPaBiSb crystal. Source: the Alexandria database, functional PBE-GGA.

Computed properties:
- Uncorrected formation energy: -0.3836 eV/atom
- Space-group type: F-43m (216)

Cell: 5.277 5.277 5.277 Å, 60.00 60.00 60.00°
Sites, in units of the cell vectors:
Sc1 0.000 0.000 0.000
Pa1 0.500 0.500 0.500
Bi1 0.250 0.250 0.250
Sb1 0.750 0.750 0.750


(9)
A relaxed BeTe2 crystal. Source: the Alexandria database, functional PBE-GGA.

Computed properties:
- Uncorrected formation energy: 0.0814 eV/atom
- Distance to the lowest polymorph of the same formula: 226 meV per atom
- Space-group type: P6_3/mmc (194)

Cell: 4.026 4.026 11.103 Å, 90.00 90.00 120.00°
Sites, in units of the cell vectors:
Be1 0.000 0.000 0.000
Be2 0.000 0.000 0.500
Te1 0.333 0.667 0.118
Te2 0.333 0.667 0.382
Te3 0.667 0.333 0.618
Te4 0.667 0.333 0.882


(10)
A relaxed Mg2RuPtN crystal. Source: the Alexandria database, functional PBE-GGA.

Computed properties:
- Uncorrected formation energy: -0.4358 eV/atom
- Space-group type: P4/mmm (123)

Cell: 4.316 4.316 3.794 Å, 90.00 90.00 90.00°
Sites, in units of the cell vectors:
Mg1 0.000 0.500 0.000
Mg2 0.500 0.000 0.000
Ru1 0.000 0.000 0.500
Pt1 0.500 0.500 0.500
N1 0.000 0.000 0.000


(11)
A relaxed Nd8Ga3CoI4 crystal. Source: the Alexandria database, functional PBE-GGA.

Computed properties:
- Uncorrected formation energy: -0.6905 eV/atom
- Space-group type: C2/m (12)

Cell: 8.683 8.683 9.332 Å, 118.72 118.72 58.49°
Sites, in units of the cell vectors:
Nd1 0.217 0.758 0.691
Nd2 0.230 0.230 0.707
Nd3 0.242 0.783 0.309
Nd4 0.261 0.261 0.282
Nd5 0.739 0.739 0.718
Nd6 0.758 0.217 0.691
Nd7 0.770 0.770 0.293
Nd8 0.783 0.242 0.309
Ga1 0.000 0.500 0.500
Ga2 0.500 0.000 0.500
Ga3 0.500 0.500 0.500
Co1 0.000 0.000 0.500
I1 0.000 0.000 0.000
I2 0.000 0.500 0.000
I3 0.500 0.000 0.000
I4 0.500 0.500 0.000


(12)
A relaxed NiBC3 crystal. Source: the Alexandria database, functional PBE-GGA.

Computed properties:
- Distance to the lowest polymorph of the same formula: 2063 meV per atom
- Formation energy from the elements: 2.296 eV per atom
- Space-group type: Pm-3m (221)

Cell: 3.410 3.410 3.410 Å, 90.00 90.00 90.00°
Sites, in units of the cell vectors:
Ni1 0.000 0.000 0.000
B1 0.500 0.500 0.500
C1 0.000 0.500 0.500
C2 0.500 0.000 0.500
C3 0.500 0.500 0.000


Theoretical density / g/cm³: 6.937 7.859 7.450 5.182 9.400 13.850 9.287 9.697 5.631 8.429 6.400 4.420